Model a:
An optimized crystal structure of Fe2NiMoH. Source: Alexandria via LeMat-Bulk, functional PBE-GGA.

Cell lengths 3.711, 3.711, 3.550 Å; angles 90.00, 90.00, 90.00 degrees
Space group P4/mmm (No. 123)
Asymmetric unit:
Fe  0.000  0.500  0.000 [2 per cell]
Ni  0.000  0.000  0.500 [1 per cell]
Mo  0.500  0.500  0.500 [1 per cell]
H  0.000  0.000  0.000 [1 per cell]

Calculated values
V: 9.776 A^3/atom

Model b:
An optimized crystal structure of Fe2NiMoH. Source: Alexandria via LeMat-Bulk, functional PBE-GGA.

Cell lengths 3.634, 3.634, 3.809 Å; angles 90.00, 90.00, 90.00 degrees
Space group P4/mmm (No. 123)
Asymmetric unit:
Fe  0.000  0.500  0.000 [2 per cell]
Ni  0.000  0.000  0.500 [1 per cell]
Mo  0.500  0.500  0.500 [1 per cell]
H  0.500  0.500  0.000 [1 per cell]

Calculated values
V: 10.062 A^3/atom

Least stable = model b

Model a:
An optimized crystal structure of FeMo2HPd. Source: Alexandria via LeMat-Bulk, functional PBE-GGA.

Cell lengths 4.776, 4.776, 4.642 Å; angles 90.00, 90.00, 90.00 degrees
Space group P4/mmm (No. 123)
Asymmetric unit:
Fe  0.000  0.000  0.000 [1 per cell]
Mo  0.000  0.500  0.500 [2 per cell]
H  0.500  0.500  0.000 [1 per cell]
Pd  0.000  0.000  0.500 [1 per cell]

Calculated values
V: 21.179 A^3/atom

Model b:
An optimized crystal structure of FeMo2HPd. Source: Alexandria via LeMat-Bulk, functional PBE-GGA.

Cell lengths 3.917, 3.917, 3.852 Å; angles 90.00, 90.00, 90.00 degrees
Space group P4/mmm (No. 123)
Asymmetric unit:
Fe  0.000  0.000  0.000 [1 per cell]
Mo  0.000  0.500  0.500 [2 per cell]
H  0.000  0.000  0.500 [1 per cell]
Pd  0.500  0.500  0.000 [1 per cell]

Calculated values
V: 11.821 A^3/atom

Least stable = model a

Model a:
An optimized crystal structure of Fe2MoHPd. Source: Alexandria via LeMat-Bulk, functional PBE-GGA.

Cell lengths 3.813, 3.813, 3.841 Å; angles 90.00, 90.00, 90.00 degrees
Space group P4/mmm (No. 123)
Asymmetric unit:
Fe  0.000  0.500  0.000 [2 per cell]
Mo  0.000  0.000  0.500 [1 per cell]
H  0.000  0.000  0.000 [1 per cell]
Pd  0.500  0.500  0.500 [1 per cell]

Calculated values
V: 11.168 A^3/atom

Model b:
An optimized crystal structure of Fe2MoHPd. Source: Alexandria via LeMat-Bulk, functional PBE-GGA.

Cell lengths 3.820, 3.820, 3.702 Å; angles 90.00, 90.00, 90.00 degrees
Space group P4/mmm (No. 123)
Asymmetric unit:
Fe  0.000  0.500  0.000 [2 per cell]
Mo  0.000  0.000  0.500 [1 per cell]
H  0.500  0.500  0.000 [1 per cell]
Pd  0.500  0.500  0.500 [1 per cell]

Calculated values
V: 10.807 A^3/atom

Least stable = model b

Model a:
An optimized crystal structure of Fe2MoHPt. Source: Alexandria via LeMat-Bulk, functional PBE-GGA.

Cell lengths 3.832, 3.832, 3.723 Å; angles 90.00, 90.00, 90.00 degrees
Space group P4/mmm (No. 123)
Asymmetric unit:
Fe  0.000  0.500  0.000 [2 per cell]
Mo  0.000  0.000  0.500 [1 per cell]
H  0.500  0.500  0.000 [1 per cell]
Pt  0.500  0.500  0.500 [1 per cell]

Calculated values
V: 10.936 A^3/atom

Model b:
An optimized crystal structure of Fe2MoHPt. Source: Alexandria via LeMat-Bulk, functional PBE-GGA.

Cell lengths 3.777, 3.777, 3.781 Å; angles 90.00, 90.00, 90.00 degrees
Space group P4/mmm (No. 123)
Asymmetric unit:
Fe  0.000  0.500  0.000 [2 per cell]
Mo  0.000  0.000  0.500 [1 per cell]
H  0.000  0.000  0.000 [1 per cell]
Pt  0.500  0.500  0.500 [1 per cell]

Calculated values
V: 10.788 A^3/atom

Least stable = model a